The following is a PBE calculation of a relaxed BeAsRh3 crystal, from Alexandria via LeMat-Bulk.

Cell: 4.1532 4.1532 4.1532 Å, 90.00 90.00 90.00°
Atoms (fractional coordinates):
Be 0.0000 0.0000 0.0000
As 0.5000 0.5000 0.5000
Rh 0.0000 0.0000 0.5000
Rh 0.0000 0.5000 0.0000
Rh 0.5000 0.0000 0.0000

- M_tot (μB/f.u.) = 0.0
- calculated total energy (eV per atom) = -5.910
- symmetry = Pm-3m, No. 221
- energy above the lowest structure with this stoichiometry (eV/f.u.) = 0.00